(1)
Below is a geometry-optimized NpB3H12 structure, with properties calculated at the PBE level.

Properties
SG: R-3c, No. 167
Final energy: -76.497 eV/f.u.

a b c (Å): 7.844 7.844 7.889
angles (deg): 60.19 60.19 60.00
Positions (direct):
Np1 0.082 0.082 0.754
Np2 0.582 0.582 0.254
B1 0.831 0.332 0.004
B2 0.331 0.333 0.504
B3 0.832 0.331 0.504
B4 0.332 0.833 0.004
B5 0.833 0.831 0.004
B6 0.333 0.832 0.504
H1 0.178 0.989 0.033
H2 0.362 0.180 0.658
H3 0.986 0.175 0.475
H4 0.984 0.364 0.850
H5 0.484 0.302 0.350
H6 0.486 0.863 0.975
H7 0.862 0.300 0.158
H8 0.175 0.363 0.475
H9 0.678 0.301 0.533
H10 0.800 0.362 0.658
H11 0.864 0.484 0.350
H12 0.301 0.489 0.533
H13 0.863 0.675 0.975
H14 0.801 0.178 0.033
H15 0.364 0.802 0.850
H16 0.300 0.680 0.158
H17 0.680 0.862 0.158
H18 0.675 0.486 0.975
H19 0.489 0.678 0.533
H20 0.802 0.984 0.850
H21 0.302 0.864 0.350
H22 0.989 0.801 0.033
H23 0.180 0.800 0.658
H24 0.363 0.986 0.475

=====

(2)
Below is a geometry-optimized Mg2I3Br structure, with properties calculated at the PBE level.

Properties
SG: C2/m, No. 12
Formation energy without anion corrections: -1149 meV/atom
Final energy: -16.409 eV/f.u.

a b c (Å): 4.133 10.010 11.678
angles (deg): 94.10 79.81 78.08
Positions (direct):
Mg1 0.878 0.366 0.878
Mg2 0.122 0.634 0.122
Mg3 0.623 0.122 0.632
Mg4 0.377 0.878 0.368
I1 0.063 0.071 0.803
I2 0.937 0.929 0.197
I3 0.697 0.663 0.942
I4 0.303 0.337 0.058
I5 0.818 0.827 0.538
I6 0.182 0.173 0.462
Br1 0.443 0.389 0.724
Br2 0.557 0.611 0.276

=====

(3)
Below is a geometry-optimized Tl8Au structure, with properties calculated at the PBE level.

Properties
SG: I4/mmm, No. 139
Energy of formation: 15 meV per atom
Final energy: -22.069 eV/f.u.

a b c (Å): 8.687 8.687 8.687
angles (deg): 92.59 92.59 155.47
Positions (direct):
Au1 0.000 0.000 0.000
Tl1 0.348 0.652 0.000
Tl2 0.652 0.348 0.000
Tl3 0.000 0.332 0.332
Tl4 0.652 0.652 0.304
Tl5 0.332 0.000 0.332
Tl6 0.348 0.348 0.696
Tl7 0.000 0.668 0.668
Tl8 0.668 0.000 0.668

=====

(4)
Below is a geometry-optimized MnCo4 structure, with properties calculated at the PBE level.

Properties
Excess energy over the best structure of this formula in the dataset: 941 meV per atom
SG: Im-3m, No. 229
Energy of formation: 1027 meV per atom
Final energy: -32.456 eV/f.u.

a b c (Å): 4.434 4.434 4.434
angles (deg): 109.47 109.47 109.47
Positions (direct):
Mn1 0.000 0.000 0.000
Co1 0.500 0.000 0.000
Co2 0.500 0.500 0.500
Co3 0.000 0.500 0.000
Co4 0.000 0.000 0.500

=====

(5)
Below is a geometry-optimized Ge3Te8 structure, with properties calculated at the PBE level.

Properties
SG: R-3, No. 148
Formation energy without anion corrections: 12 meV/atom
Final energy: -38.854 eV/f.u.

a b c (Å): 6.953 6.953 6.953
angles (deg): 92.52 92.52 92.52
Positions (direct):
Ge1 0.500 0.000 0.500
Ge2 0.000 0.500 0.500
Ge3 0.500 0.500 0.000
Te1 0.894 0.354 0.090
Te2 0.354 0.090 0.894
Te3 0.090 0.894 0.354
Te4 0.379 0.379 0.379
Te5 0.621 0.621 0.621
Te6 0.910 0.106 0.646
Te7 0.646 0.910 0.106
Te8 0.106 0.646 0.910

=====

(6)
Below is a geometry-optimized Pm2Mg3 structure, with properties calculated at the PBE level.

Properties
Excess energy over the best structure of this formula in the dataset: 132 meV per atom
SG: R-3m, No. 166
Energy of formation: 49 meV per atom
Final energy: -14.039 eV/f.u.

a b c (Å): 3.408 3.408 14.177
angles (deg): 83.10 83.10 60.00
Positions (direct):
Pm1 0.297 0.297 0.108
Pm2 0.703 0.703 0.892
Mg1 0.105 0.105 0.685
Mg2 0.500 0.500 0.500
Mg3 0.895 0.895 0.315

=====

(7)
Below is a geometry-optimized YH3Br structure, with properties calculated at the PBE level.

Properties
Excess energy over the best structure of this formula in the dataset: 0 meV per atom
SG: Pm-3m, No. 221
Final energy: -18.923 eV/f.u.

a b c (Å): 4.180 4.180 4.180
angles (deg): 90.00 90.00 90.00
Positions (direct):
Y1 0.000 0.000 0.000
H1 0.000 0.500 0.000
H2 0.000 0.000 0.500
H3 0.500 0.000 0.000
Br1 0.500 0.500 0.500

=====

(8)
Below is a geometry-optimized ZrTa2Cd structure, with properties calculated at the PBE level.

Properties
SG: I-42d, No. 122
Energy of formation: 594 meV per atom
Final energy: -30.794 eV/f.u.

a b c (Å): 4.057 4.057 10.715
angles (deg): 79.09 79.09 90.00
Positions (direct):
Cd1 0.000 0.000 0.000
Cd2 0.750 0.250 0.500
Zr1 0.500 0.500 0.000
Zr2 0.250 0.750 0.500
Ta1 0.618 0.125 0.250
Ta2 0.132 0.625 0.250
Ta3 0.375 0.382 0.750
Ta4 0.875 0.868 0.750

=====

(9)
Below is a geometry-optimized AcBeSiNi3 structure, with properties calculated at the PBE level.

Properties
SG: Cmcm, No. 63
Formation energy without anion corrections: -280 meV/atom
Final energy: -32.282 eV/f.u.

a b c (Å): 5.395 6.164 6.679
angles (deg): 117.48 90.00 90.00
Positions (direct):
Ac1 0.750 0.256 0.512
Ac2 0.250 0.744 0.488
Be1 0.250 0.404 0.809
Be2 0.750 0.596 0.191
Si1 0.250 0.034 0.068
Si2 0.750 0.966 0.932
Ni1 0.250 0.222 0.444
Ni2 0.000 0.293 0.000
Ni3 0.500 0.707 0.000
Ni4 0.500 0.293 0.000
Ni5 0.000 0.707 0.000
Ni6 0.750 0.778 0.556

=====

(10)
Below is a geometry-optimized Li2AsI5 structure, with properties calculated at the PBE level.

Properties
SG: C2, No. 5
Formation energy without anion corrections: -629 meV/atom
Final energy: -21.263 eV/f.u.

a b c (Å): 6.162 7.429 7.603
angles (deg): 84.73 113.91 114.50
Positions (direct):
Li1 0.450 0.610 0.212
Li2 0.684 0.446 0.844
As1 0.104 0.028 0.028
I1 0.977 0.666 0.218
I2 0.347 0.259 0.393
I3 0.751 0.797 0.663
I4 0.149 0.390 0.838
I5 0.536 0.028 0.028

=====

(11)
Below is a geometry-optimized Hg3Au structure, with properties calculated at the PBE level.

Properties
Excess energy over the best structure of this formula in the dataset: 90 meV per atom
SG: Cmmm, No. 65
Energy of formation: 111 meV per atom
Final energy: -3.740 eV/f.u.

a b c (Å): 5.684 5.684 2.910
angles (deg): 90.00 90.00 85.64
Positions (direct):
Au1 0.000 0.000 0.000
Hg1 0.000 0.500 0.500
Hg2 0.500 0.000 0.500
Hg3 0.500 0.500 0.000

=====

(12)
Below is a geometry-optimized LiAuSe2 structure, with properties calculated at the PBE level.

Properties
SG: I4/mmm, No. 139
Formation energy without anion corrections: -101 meV/atom
Final energy: -12.563 eV/f.u.

a b c (Å): 4.995 4.995 4.995
angles (deg): 126.85 126.85 78.49
Positions (direct):
Au1 0.250 0.750 0.500
Li1 0.750 0.250 0.500
Se1 0.000 0.000 0.000
Se2 0.500 0.500 0.000

=====

(13)
Below is a geometry-optimized Ac3In2Pd4 structure, with properties calculated at the PBE level.

Properties
Excess energy over the best structure of this formula in the dataset: 12 meV per atom
SG: C2/m, No. 12
Energy of formation: -745 meV per atom
Final energy: -45.276 eV/f.u.

a b c (Å): 4.669 5.927 9.250
angles (deg): 96.01 90.00 113.20
Positions (direct):
Ac1 0.374 0.748 0.617
Ac2 0.000 0.000 0.000
Ac3 0.626 0.252 0.383
In1 0.323 0.646 0.216
In2 0.677 0.354 0.784
Pd1 0.725 0.450 0.087
Pd2 0.082 0.164 0.632
Pd3 0.918 0.836 0.368
Pd4 0.275 0.550 0.913